Computed, not measured: a relaxed structure of GaNiOs2S at the PBE level of DFT.

abc: 4.601 4.248 4.601
angles: 90.00 90.00 90.00
Sites, in units of the cell vectors:
Ni 0.000 0.500 0.000
Ga 0.000 0.000 0.000
Os 0.000 0.000 0.500
Os 0.500 0.000 0.000
S 0.500 0.500 0.500

Properties
energy relative to the elements, uncorrected = 9.29 eV per formula unit
space-group type = P4/mmm

=====

Computed, not measured: a relaxed structure of Ga2NiOsS at the PBE level of DFT.

abc: 4.427 4.709 4.427
angles: 90.00 90.00 90.00
Sites, in units of the cell vectors:
Ga 0.000 0.000 0.500
Ni 0.000 0.000 0.000
Os 0.000 0.500 0.000
S 0.500 0.500 0.500
Ga 0.500 0.000 0.000

Properties
energy relative to the elements, uncorrected = 3.94 eV per formula unit
space-group type = P4/mmm

=====

Computed, not measured: a relaxed structure of Sc4GaNi2Os at the PBE level of DFT.

abc: 4.570 4.570 7.964
angles: 73.33 73.33 60.00
Sites, in units of the cell vectors:
Os 0.500 0.500 0.500
Sc 0.128 0.128 0.615
Sc 0.620 0.620 0.139
Ni 0.250 0.250 0.250
Ga 0.000 0.000 0.000
Sc 0.380 0.380 0.861
Ni 0.750 0.750 0.750
Sc 0.872 0.872 0.385

Properties
ΔE_f = -0.5268 eV/atom
space-group type = R-3m

=====

Computed, not measured: a relaxed structure of ScGaNiOs at the PBE level of DFT.

abc: 4.370 4.370 4.370
angles: 60.00 60.00 60.00
Sites, in units of the cell vectors:
Ga 0.000 0.000 0.000
Sc 0.500 0.500 0.500
Ni 0.250 0.250 0.250
Os 0.750 0.750 0.750

Properties
ΔE_f = -0.3463 eV/atom
space-group type = F-43m

=====

Computed, not measured: a relaxed structure of SmGa4Ni2Os at the PBE level of DFT.

abc: 4.133 4.133 9.227
angles: 77.06 77.06 60.00
Sites, in units of the cell vectors:
Ni 0.231 0.231 0.306
Ga 0.870 0.870 0.391
Ni 0.769 0.769 0.694
Sm 0.000 0.000 0.000
Ga 0.130 0.130 0.609
Ga 0.597 0.597 0.208
Ga 0.403 0.403 0.792
Os 0.500 0.500 0.500

Properties
ΔE_f = -0.3518 eV/atom
space-group type = R-3m

=====

Computed, not measured: a relaxed structure of GaNiSn2Os at the PBE level of DFT.

abc: 5.106 4.777 5.106
angles: 90.00 90.00 90.00
Sites, in units of the cell vectors:
Ni 0.500 0.500 0.500
Sn 0.000 0.000 0.500
Sn 0.500 0.000 0.000
Os 0.000 0.000 0.000
Ga 0.000 0.500 0.000

Properties
ΔE_f = 0.6233 eV/atom
space-group type = P4/mmm

=====

Computed, not measured: a relaxed structure of TaGaNiOs at the PBE level of DFT.

abc: 4.355 4.355 4.355
angles: 60.00 60.00 60.00
Sites, in units of the cell vectors:
Ni 0.250 0.250 0.250
Ta 0.000 0.000 0.000
Ga 0.500 0.500 0.500
Os 0.750 0.750 0.750

Properties
ΔE_f = -0.2510 eV/atom
space-group type = F-43m

=====

Computed, not measured: a relaxed structure of ThGa4Ni2Os at the PBE level of DFT.

abc: 4.148 4.148 9.262
angles: 77.06 77.06 60.00
Sites, in units of the cell vectors:
Th 0.000 0.000 0.000
Ga 0.131 0.131 0.608
Os 0.500 0.500 0.500
Ga 0.596 0.596 0.211
Ga 0.404 0.404 0.789
Ga 0.869 0.869 0.392
Ni 0.232 0.232 0.305
Ni 0.768 0.768 0.695

Properties
ΔE_f = -0.3235 eV/atom
space-group type = R-3m

=====

Final energy readings, ordered: -5.221 -4.650 -6.920 -6.939 -5.304 -4.985 -8.224 -5.614 eV per atom